LiAlW: optimized geometry, GGA-PBE.

It has space group Pm (No. 6), with a = 2.7493 Å, b = 4.6142 Å, c = 7.3197 Å, α = 90.00°, β = 98.12° and γ = 90.00°. The asymmetric unit holds Li at (0.0000, 0.0000, 0.0000), Li at (0.3214, 0.0000, 0.6656), Al at (0.7621, 0.0000, 0.3324), Al at (0.9155, 0.5000, 0.7875), W at (0.3378, 0.5000, 0.4514) and W at (0.5191, 0.5000, 0.1158).

As for the electronic total energy: -6.12 eV/atom. As for the relative energy among the computed polymorphs: 0.096 eV/atom.



LiAlW2: optimized geometry, GGA-PBE.

It has space group C2/m (No. 12), with a = 5.2987 Å, b = 8.7755 Å, c = 2.6747 Å, α = 90.00°, β = 102.81° and γ = 90.00°. The asymmetric unit holds Li at (0.0000, 0.0000, 0.0000), Al at (0.0000, 0.5000, 0.0000) and W at (0.2500, 0.2500, 0.5000).

As for the electronic total energy: -7.67 eV/atom.



LiAlW: optimized geometry, GGA-PBE.

It has space group P-6m2 (No. 187), with a = 4.2837 Å, b = 4.2837 Å, c = 2.7465 Å, α = 90.00°, β = 90.00° and γ = 120.00°. The asymmetric unit holds Li at (0.0000, 0.0000, 0.0000), Al at (0.6667, 0.3333, 0.0000) and W at (0.3333, 0.6667, 0.5000).

As for the electronic total energy: -5.95 eV/atom. As for the relative energy among the computed polymorphs: 0.268 eV/atom.



LiAlW3: optimized geometry, GGA-PBE.

It has space group Pm-3m (No. 221), with a = 4.2488 Å, b = 4.2488 Å, c = 4.2488 Å, α = 90.00°, β = 90.00° and γ = 90.00°. The asymmetric unit holds Li at (0.0000, 0.0000, 0.0000), Al at (0.5000, 0.5000, 0.5000) and W at (0.0000, 0.0000, 0.5000).

As for the electronic total energy: -7.56 eV/atom. As for the relative energy among the computed polymorphs: 0.000 eV/atom.



LiAlW: optimized geometry, GGA-PBE.

It has space group Cm (No. 8), with a = 4.4971 Å, b = 3.0280 Å, c = 7.2176 Å, α = 90.00°, β = 105.64° and γ = 90.00°. The asymmetric unit holds Li at (0.0000, 0.0000, 0.0000), Al at (0.0568, 0.5000, 0.3299) and W at (0.3192, 0.0000, 0.6530).

As for the electronic total energy: -6.06 eV/atom. As for the relative energy among the computed polymorphs: 0.160 eV/atom.



LiAlW2: optimized geometry, GGA-PBE.

It has space group I4/mmm (No. 139), with a = 3.7567 Å, b = 3.7567 Å, c = 8.5523 Å, α = 90.00°, β = 90.00° and γ = 90.00°. The asymmetric unit holds Li at (0.0000, 0.0000, 0.0000), Al at (0.0000, 0.0000, 0.5000) and W at (0.0000, 0.5000, 0.2500).

As for the electronic total energy: -7.66 eV/atom.



no.,formation energy from the elements (eV per atom)
1,0.08
2,0.22
3,0.25
4,1.35
5,0.14
6,0.23